Run w
Density functional theory data (PBE) for an optimized crystal structure of Th3Sn2Ru.

Cell lengths 12.786, 4.447, 11.936 Å; angles 90.00, 90.00, 90.00 degrees
Space group Pnma (No. 62)
One atom of each set of equivalent atoms:
Th: 0.053 0.250 0.127 x4
Th: 0.123 0.750 0.546 x4
Th: 0.242 0.250 0.787 x4
Sn: 0.002 0.250 0.693 x4
Sn: 0.188 0.750 0.994 x4
Ru: 0.126 0.250 0.365 x4

***

Run x
Density functional theory data (PBE) for an optimized crystal structure of Th3Sn2Ru.

Cell lengths 14.448, 6.256, 8.294 Å; angles 90.00, 106.66, 90.00 degrees
Space group C2/c (No. 15)
One atom of each set of equivalent atoms:
Th: 0.000 0.003 0.250 x4
Th: 0.136 0.500 0.068 x8
Sn: 0.182 0.000 0.091 x8
Ru: 0.000 0.500 0.250 x4

***

Each structure's energy above the most stable one, in eV/atom: run w 0.000; run x 0.170.